No. 1
The following is a DFT calculation (GGA-PBE) of a geometry-optimized NdDy3Ru structure. Values from VASP.

```
&SYSTEM
  ibrav = 0, nat = 10, ntyp = 3
/
ATOMIC_SPECIES
Nd 144.24 Nd.upf
Dy 162.50 Dy.upf
Ru 101.07 Ru.upf
ATOMIC_POSITIONS angstrom
Nd 2.328 0.000 4.505
Nd 11.285 0.000 6.484
Dy 0.794 0.000 1.379
Dy 2.980 0.000 9.450
Dy 5.932 0.000 3.786
Dy 7.681 0.000 7.202
Dy 10.633 0.000 1.539
Dy 12.819 0.000 9.609
Ru 5.595 0.000 0.856
Ru 8.017 0.000 10.132
CELL_PARAMETERS angstrom
6.853 -1.911 0.000
6.853 1.911 0.000
-0.093 0.000 10.988
```

Calculated values
E above lowest polymorph (meV per atom): 0.0
Crystal system: monoclinic
E_form (eV per atom): -0.173


No. 2
The following is a DFT calculation (GGA-PBE) of a geometry-optimized GaRe2Bi2 structure. Values from VASP.

```
&SYSTEM
  ibrav = 0, nat = 10, ntyp = 3
/
ATOMIC_SPECIES
Ga 69.72 Ga.upf
Re 186.21 Re.upf
Bi 208.98 Bi.upf
ATOMIC_POSITIONS angstrom
Ga 0.000 0.000 0.000
Ga 2.719 2.719 4.056
Re 0.000 0.000 2.924
Re 0.000 0.000 5.188
Re 2.719 2.719 1.132
Re 2.719 2.719 6.980
Bi 0.000 2.719 2.028
Bi 0.000 2.719 6.084
Bi 2.719 0.000 2.028
Bi 2.719 0.000 6.084
CELL_PARAMETERS angstrom
5.438 0.000 0.000
0.000 5.438 0.000
0.000 0.000 8.112
```

Calculated values
E above lowest polymorph (meV per atom): 191.0
Crystal system: tetragonal
E_form (eV per atom): 0.898


No. 3
The following is a DFT calculation (GGA-PBE) of a geometry-optimized Pu4IrAu structure. Values from VASP.

```
&SYSTEM
  ibrav = 0, nat = 12, ntyp = 3
/
ATOMIC_SPECIES
Pu 244.00 Pu.upf
Ir 192.22 Ir.upf
Au 196.97 Au.upf
ATOMIC_POSITIONS angstrom
Pu 1.641 0.000 0.000
Pu 5.332 0.000 0.000
Pu 1.743 3.384 -3.386
Pu 1.743 -0.102 3.386
Pu 1.641 3.487 0.000
Pu 1.846 0.000 6.773
Pu -1.743 3.589 3.386
Pu 1.743 3.589 3.386
Ir 3.487 -1.743 5.080
Ir 0.000 5.230 1.693
Au 3.487 1.743 1.693
Au 0.000 1.743 5.080
CELL_PARAMETERS angstrom
-3.487 3.487 6.773
3.487 -3.487 6.773
3.487 3.487 -6.773
```

Calculated values
Crystal system: tetragonal
E_form (eV per atom): -0.146


Question: The highest E_form belongs to which entry?
Answer: GaRe2Bi2